Al3GaRe: optimized geometry, PBE.

The calculation puts the energy relative to the elements at 0.04 eV/atom. The relative energy among the computed polymorphs is 0 meV per atom. As for the crystal system: monoclinic.

It has space group P2_1/m (No. 11), with a = 5.5642 Å, b = 4.7968 Å, c = 6.5442 Å, α = 90.00°, β = 95.97° and γ = 90.00°. The inequivalent atoms are Al at (0.0000, 0.0000, 0.0000), Al at (0.0392, 0.2500, 0.6065), Al at (0.4272, 0.2500, 0.9383), Ga at (0.4733, 0.7500, 0.4211) and Re at (0.2518, 0.7500, 0.7434).